Version a
## Na2Ag2Sb (PBE-GGA)

Data for Na2Ag2Sb after structural relaxation.

Summary:
- N(E_F) (states/eV/f.u.) = 2.53
- SG = I4/mmm (139)

a = 4.183 Å, b = 4.183 Å, c = 7.566 Å
α = 73.95°, β = 73.95°, γ = 90.00°
Element x y z (fractional)
Sb (0.000, 0.000, 0.000)
Na (0.750, 0.250, 0.500)
Na (0.250, 0.750, 0.500)
Ag (0.595, 0.595, 0.809)
Ag (0.405, 0.405, 0.191)

=====

Version b
## Na2Ag2Sb (PBE-GGA)

Data for Na2Ag2Sb after structural relaxation.

Summary:
- N(E_F) (states/eV/f.u.) = 2.39
- SG = P4/mbm (127)

a = 7.199 Å, b = 7.199 Å, c = 4.883 Å
α = 90.00°, β = 90.00°, γ = 90.00°
Element x y z (fractional)
Sb (0.500, 0.500, 0.000)
Sb (0.000, 0.000, 0.000)
Ag (0.137, 0.363, 0.000)
Ag (0.363, 0.863, 0.000)
Ag (0.863, 0.637, 0.000)
Ag (0.637, 0.137, 0.000)
Na (0.324, 0.176, 0.500)
Na (0.824, 0.324, 0.500)
Na (0.176, 0.676, 0.500)
Na (0.676, 0.824, 0.500)

=====

Version c
## Na2Ag2Sb (PBE-GGA)

Data for Na2Ag2Sb after structural relaxation.

Summary:
- N(E_F) (states/eV/f.u.) = 2.96
- SG = P4/mbm (127)

a = 8.371 Å, b = 8.371 Å, c = 3.413 Å
α = 90.00°, β = 90.00°, γ = 90.00°
Element x y z (fractional)
Na (0.333, 0.833, 0.000)
Na (0.167, 0.333, 0.000)
Na (0.667, 0.167, 0.000)
Na (0.833, 0.667, 0.000)
Ag (0.876, 0.376, 0.500)
Ag (0.376, 0.124, 0.500)
Ag (0.624, 0.876, 0.500)
Ag (0.124, 0.624, 0.500)
Sb (0.000, 0.000, 0.000)
Sb (0.500, 0.500, 0.000)

=====

Most favorable first, least favorable last: version b, version c, version a

=====

Version a
## Na3Ag2Sb4 (PBE-GGA)

Data for Na3Ag2Sb4 after structural relaxation.

Summary:
- N(E_F) (states/eV/f.u.) = 3.49
- SG = C2/m (12)

a = 4.656 Å, b = 6.103 Å, c = 9.745 Å
α = 93.74°, β = 90.00°, γ = 112.42°
Element x y z (fractional)
Ag (0.632, 0.264, 0.788)
Ag (0.368, 0.736, 0.212)
Sb (0.281, 0.561, 0.910)
Sb (0.719, 0.439, 0.090)
Sb (0.074, 0.148, 0.638)
Sb (0.926, 0.852, 0.362)
Na (0.640, 0.280, 0.408)
Na (0.000, 0.000, 0.000)
Na (0.360, 0.720, 0.592)

=====

Version b
## Na3Ag2Sb4 (PBE-GGA)

Data for Na3Ag2Sb4 after structural relaxation.

Summary:
- N(E_F) (states/eV/f.u.) = 2.31
- SG = C2/m (12)

a = 4.979 Å, b = 5.967 Å, c = 9.764 Å
α = 72.08°, β = 75.23°, γ = 65.34°
Element x y z (fractional)
Sb (0.003, 0.337, 0.658)
Sb (0.257, 0.403, 0.082)
Sb (0.743, 0.597, 0.918)
Sb (0.997, 0.663, 0.342)
Ag (0.416, 0.904, 0.263)
Ag (0.584, 0.096, 0.737)
Na (0.684, 0.257, 0.376)
Na (0.000, 0.000, 0.000)
Na (0.316, 0.743, 0.624)

=====

Most favorable first, least favorable last: version b, version a

=====

Version a
## NaAgSb3 (PBE-GGA)

Data for NaAgSb3 after structural relaxation.

Summary:
- N(E_F) (states/eV/f.u.) = 3.10
- SG = Pm-3m (221)

a = 5.467 Å, b = 5.467 Å, c = 5.467 Å
α = 90.00°, β = 90.00°, γ = 90.00°
Element x y z (fractional)
Sb (0.000, 0.000, 0.500)
Sb (0.000, 0.500, 0.000)
Sb (0.500, 0.000, 0.000)
Ag (0.000, 0.000, 0.000)
Na (0.500, 0.500, 0.500)

=====

Version b
## NaAgSb3 (PBE-GGA)

Data for NaAgSb3 after structural relaxation.

Summary:
- N(E_F) (states/eV/f.u.) = 2.28
- SG = Pmn2_1 (31)

a = 6.440 Å, b = 6.417 Å, c = 6.868 Å
α = 90.00°, β = 89.99°, γ = 89.99°
Element x y z (fractional)
Sb (0.834, 0.085, 0.701)
Sb (0.471, 0.905, 0.444)
Sb (0.471, 0.905, 0.957)
Sb (0.971, 0.447, 0.944)
Sb (0.334, 0.268, 0.201)
Sb (0.971, 0.447, 0.457)
Ag (0.144, 0.778, 0.701)
Ag (0.645, 0.575, 0.201)
Na (0.957, 0.939, 0.201)
Na (0.457, 0.414, 0.701)

=====

Most favorable first, least favorable last: version b, version a

=====

Version a
## NaTlAgSb2 (PBE-GGA)

Data for NaTlAgSb2 after structural relaxation.

Summary:
- N(E_F) (states/eV/f.u.) = 2.26
- SG = P4/mmm (123)

a = 5.410 Å, b = 5.468 Å, c = 5.410 Å
α = 90.00°, β = 90.00°, γ = 90.00°
Element x y z (fractional)
Ag (0.000, 0.000, 0.000)
Sb (0.000, 0.000, 0.500)
Sb (0.500, 0.000, 0.000)
Na (0.000, 0.500, 0.000)
Tl (0.500, 0.500, 0.500)

=====

Version b
## NaTlAgSb2 (PBE-GGA)

Data for NaTlAgSb2 after structural relaxation.

Summary:
- N(E_F) (states/eV/f.u.) = 3.01
- SG = P4/mmm (123)

a = 5.508 Å, b = 5.188 Å, c = 5.508 Å
α = 90.00°, β = 90.00°, γ = 90.00°
Element x y z (fractional)
Tl (0.500, 0.500, 0.500)
Sb (0.000, 0.000, 0.500)
Sb (0.500, 0.000, 0.000)
Na (0.000, 0.000, 0.000)
Ag (0.000, 0.500, 0.000)

=====

Most favorable first, least favorable last: version a, version b

=====

Version a
## Na3ScAg (PBE-GGA)

Data for Na3ScAg after structural relaxation.

Summary:
- N(E_F) (states/eV/f.u.) = 5.02
- SG = Pm-3m (221)

a = 5.509 Å, b = 5.509 Å, c = 5.509 Å
α = 90.00°, β = 90.00°, γ = 90.00°
Each line ends with the local moment (μB).
Element x y z (fractional)
Na (0.000, 0.500, 0.000)  0.00
Na (0.000, 0.000, 0.500)  0.01
Na (0.500, 0.000, 0.000)  0.00
Sc (0.500, 0.500, 0.500)  0.72
Ag (0.000, 0.000, 0.000)  0.01

=====

Version b
## Na3ScAg (PBE-GGA)

Data for Na3ScAg after structural relaxation.

Summary:
- N(E_F) (states/eV/f.u.) = 6.53
- SG = Pm-3m (221)

a = 6.187 Å, b = 6.187 Å, c = 6.187 Å
α = 90.00°, β = 90.00°, γ = 90.00°
Each line ends with the local moment (μB).
Element x y z (fractional)
Ag (0.500, 0.500, 0.500)  0.00
Sc (0.000, 0.000, 0.000)  1.06
Na (0.500, 0.000, 0.000)  0.03
Na (0.000, 0.000, 0.500)  0.03
Na (0.000, 0.500, 0.000)  0.03

=====

Most favorable first, least favorable last: version a, version b

=====

Version a
## NaScAg2 (PBE-GGA)

Data for NaScAg2 after structural relaxation.

Summary:
- N(E_F) (states/eV/f.u.) = 4.02
- SG = Fm-3m (225)

a = 4.888 Å, b = 4.888 Å, c = 4.888 Å
α = 60.00°, β = 60.00°, γ = 60.00°
Element x y z (fractional)
Na (0.000, 0.000, 0.000)
Sc (0.500, 0.500, 0.500)
Ag (0.250, 0.250, 0.250)
Ag (0.750, 0.750, 0.750)

=====

Version b
## NaScAg2 (PBE-GGA)

Data for NaScAg2 after structural relaxation.

Summary:
- N(E_F) (states/eV/f.u.) = 2.21
- SG = P4/mmm (123)

a = 3.409 Å, b = 3.409 Å, c = 7.536 Å
α = 90.00°, β = 90.00°, γ = 90.00°
Element x y z (fractional)
Ag (0.000, 0.000, 0.217)
Ag (0.000, 0.000, 0.783)
Sc (0.500, 0.500, 0.000)
Na (0.500, 0.500, 0.500)

=====

Version c
## NaScAg2 (PBE-GGA)

Data for NaScAg2 after structural relaxation.

Summary:
- N(E_F) (states/eV/f.u.) = 3.85
- SG = P4/mmm (123)

a = 3.198 Å, b = 5.129 Å, c = 5.129 Å
α = 90.00°, β = 90.00°, γ = 90.00°
Element x y z (fractional)
Sc (0.500, 0.000, 0.000)
Na (0.500, 0.500, 0.500)
Ag (0.000, 0.000, 0.500)
Ag (0.000, 0.500, 0.000)

=====

Version d
## NaScAg2 (PBE-GGA)

Data for NaScAg2 after structural relaxation.

Summary:
- N(E_F) (states/eV/f.u.) = 3.11
- SG = I-42d (122)

a = 7.741 Å, b = 7.741 Å, c = 6.233 Å
α = 51.61°, β = 51.61°, γ = 90.00°
Element x y z (fractional)
Ag (0.375, 0.369, 0.750)
Ag (0.119, 0.625, 0.250)
Ag (0.631, 0.125, 0.250)
Ag (0.875, 0.881, 0.750)
Sc (0.750, 0.250, 0.500)
Sc (0.000, 0.000, 0.000)
Na (0.250, 0.750, 0.500)
Na (0.500, 0.500, 0.000)

=====

Most favorable first, least favorable last: version b, version c, version a, version d

=====

Version a
## Na3AgSe (PBE-GGA)

Data for Na3AgSe after structural relaxation.

Summary:
- N(E_F) (states/eV/f.u.) = 0.00
- SG = Pm-3m (221)

a = 5.381 Å, b = 5.381 Å, c = 5.381 Å
α = 90.00°, β = 90.00°, γ = 90.00°
Element x y z (fractional)
Ag (0.000, 0.000, 0.000)
Na (0.000, 0.000, 0.500)
Na (0.000, 0.500, 0.000)
Na (0.500, 0.000, 0.000)
Se (0.500, 0.500, 0.500)

=====

Version b
## Na3AgSe (PBE-GGA)

Data for Na3AgSe after structural relaxation.

Summary:
- N(E_F) (states/eV/f.u.) = 0.00
- SG = Pm-3m (221)

a = 5.498 Å, b = 5.498 Å, c = 5.498 Å
α = 90.00°, β = 90.00°, γ = 90.00°
Element x y z (fractional)
Se (0.000, 0.000, 0.000)
Na (0.500, 0.000, 0.000)
Na (0.000, 0.500, 0.000)
Na (0.000, 0.000, 0.500)
Ag (0.500, 0.500, 0.500)

=====

Most favorable first, least favorable last: version b, version a

=====

Version a
## Na2Ag2Se (PBE-GGA)

Data for Na2Ag2Se after structural relaxation.

Summary:
- N(E_F) (states/eV/f.u.) = 0.07
- SG = P4/mbm (127)

a = 7.242 Å, b = 7.242 Å, c = 4.695 Å
α = 90.00°, β = 90.00°, γ = 90.00°
Element x y z (fractional)
Ag (0.867, 0.367, 0.500)
Ag (0.367, 0.133, 0.500)
Ag (0.633, 0.867, 0.500)
Ag (0.133, 0.633, 0.500)
Na (0.656, 0.156, 0.000)
Na (0.844, 0.656, 0.000)
Na (0.344, 0.844, 0.000)
Na (0.156, 0.344, 0.000)
Se (0.000, 0.000, 0.000)
Se (0.500, 0.500, 0.000)

=====

Version b
## Na2Ag2Se (PBE-GGA)

Data for Na2Ag2Se after structural relaxation.

Summary:
- N(E_F) (states/eV/f.u.) = 3.46
- SG = I4/mmm (139)

a = 3.820 Å, b = 3.820 Å, c = 8.884 Å
α = 77.58°, β = 77.58°, γ = 90.00°
Element x y z (fractional)
Se (0.000, 0.000, 0.000)
Na (0.413, 0.413, 0.174)
Na (0.587, 0.587, 0.826)
Ag (0.750, 0.250, 0.500)
Ag (0.250, 0.750, 0.500)

=====

Most favorable first, least favorable last: version b, version a

=====

Version a
## NaAg3Se3 (PBE-GGA)

Data for NaAg3Se3 after structural relaxation.

Summary:
- N(E_F) (states/eV/f.u.) = 7.16
- SG = R-3 (148)

a = 7.447 Å, b = 7.447 Å, c = 8.444 Å
α = 63.84°, β = 63.84°, γ = 60.00°
Element x y z (fractional)
Se (0.083, 0.748, 0.753)
Se (0.584, 0.917, 0.247)
Se (0.917, 0.252, 0.247)
Se (0.416, 0.083, 0.753)
Se (0.748, 0.416, 0.753)
Se (0.252, 0.584, 0.247)
Ag (0.544, 0.207, 0.373)
Ag (0.876, 0.544, 0.373)
Ag (0.456, 0.793, 0.627)
Ag (0.793, 0.124, 0.627)
Ag (0.207, 0.876, 0.373)
Ag (0.124, 0.456, 0.627)
Na (0.333, 0.333, 0.000)
Na (0.667, 0.667, 0.000)

=====

Version b
## NaAg3Se3 (PBE-GGA)

Data for NaAg3Se3 after structural relaxation.

Summary:
- N(E_F) (states/eV/f.u.) = 5.72
- SG = Pm-3n (223)

a = 7.375 Å, b = 7.375 Å, c = 7.375 Å
α = 90.00°, β = 90.00°, γ = 90.00°
Element x y z (fractional)
Se (0.000, 0.250, 0.500)
Se (0.000, 0.750, 0.500)
Se (0.500, 0.000, 0.250)
Se (0.250, 0.500, 0.000)
Se (0.500, 0.000, 0.750)
Se (0.750, 0.500, 0.000)
Ag (0.000, 0.500, 0.750)
Ag (0.500, 0.250, 0.000)
Ag (0.250, 0.000, 0.500)
Ag (0.750, 0.000, 0.500)
Ag (0.500, 0.750, 0.000)
Ag (0.000, 0.500, 0.250)
Na (0.000, 0.000, 0.000)
Na (0.500, 0.500, 0.500)

=====

Most favorable first, least favorable last: version a, version b

=====

Version a
## NaSmAg (PBE-GGA)

Data for NaSmAg after structural relaxation.

Summary:
- N(E_F) (states/eV/f.u.) = 3.39
- SG = P3m1 (156)

a = 3.386 Å, b = 5.144 Å, c = 5.144 Å
α = 120.00°, β = 90.00°, γ = 90.00°
Each line ends with the local moment (μB).
Element x y z (fractional)
Na (0.832, 0.000, 0.000)  0.00
Ag (0.835, 0.667, 0.333)  0.01
Sm (0.333, 0.333, 0.667)  0.11

=====

Version b
## NaSmAg (PBE-GGA)

Data for NaSmAg after structural relaxation.

Summary:
- N(E_F) (states/eV/f.u.) = 3.12
- SG = I4mm (107)

a = 3.581 Å, b = 3.581 Å, c = 7.092 Å
α = 104.63°, β = 104.63°, γ = 90.00°
Each line ends with the local moment (μB).
Element x y z (fractional)
Na (0.025, 0.025, 0.049)  0.00
Ag (0.669, 0.669, 0.339)  0.00
Sm (0.306, 0.306, 0.612)  0.06

=====

Most favorable first, least favorable last: version b, version a

=====

Version a
## NaSmAg2 (PBE-GGA)

Data for NaSmAg2 after structural relaxation.

Summary:
- N(E_F) (states/eV/f.u.) = 2.73
- SG = Fm-3m (225)

a = 5.134 Å, b = 5.134 Å, c = 5.134 Å
α = 60.00°, β = 60.00°, γ = 60.00°
Element x y z (fractional)
Ag (0.750, 0.750, 0.750)
Ag (0.250, 0.250, 0.250)
Sm (0.000, 0.000, 0.000)
Na (0.500, 0.500, 0.500)

=====

Version b
## NaSmAg2 (PBE-GGA)

Data for NaSmAg2 after structural relaxation.

Summary:
- N(E_F) (states/eV/f.u.) = 2.67
- SG = P4/mmm (123)

a = 3.694 Å, b = 3.694 Å, c = 7.396 Å
α = 90.00°, β = 90.00°, γ = 90.00°
Element x y z (fractional)
Sm (0.500, 0.500, 0.000)
Ag (0.000, 0.000, 0.234)
Ag (0.000, 0.000, 0.766)
Na (0.500, 0.500, 0.500)

=====

Most favorable first, least favorable last: version b, version a